This record from Alexandria via LeMat-Bulk describes a relaxed structure of Ca6TlCd5. The functional is PBE-GGA.

abc: 5.424 9.425 9.425
angles: 119.84 106.75 106.75
Positions (direct):
Ca  0.250  0.084  0.417
Ca  0.750  0.583  0.916
Ca  0.751  0.251  0.251
Ca  0.249  0.749  0.749
Ca  0.250  0.417  0.084
Ca  0.750  0.916  0.583
Tl  0.000  0.000  0.000
Cd  0.500  0.168  0.832
Cd  0.000  0.335  0.665
Cd  0.500  0.500  0.500
Cd  0.000  0.665  0.335
Cd  0.500  0.832  0.168

Summary:
Total magnetic moment   0.000 Bohr magnetons per cell
Raw total energy   -1.96 eV/atom
D(E_F)   8.00 states/eV per cell
ρ   4.89 g cm⁻³
Space group   No. 12
ΔH_f (0 K)   -0.379 eV per atom

=====

This record from Alexandria via LeMat-Bulk describes a relaxed structure of K2Bi5Pt3. The functional is PBE-GGA.

abc: 7.225 9.814 9.814
angles: 69.73 68.40 68.40
Positions (direct):
K  0.136  0.616  0.113
K  0.636  0.113  0.616
K  0.864  0.384  0.887
K  0.364  0.887  0.384
Bi  0.404  0.239  0.953
Bi  0.904  0.953  0.239
Bi  0.596  0.761  0.047
Bi  0.096  0.047  0.761
Bi  0.504  0.746  0.746
Bi  0.496  0.254  0.254
Bi  0.750  0.500  0.500
Bi  0.250  0.500  0.500
Bi  0.996  0.254  0.254
Bi  0.004  0.746  0.746
Pt  0.375  0.513  0.737
Pt  0.875  0.737  0.513
Pt  0.625  0.487  0.263
Pt  0.125  0.263  0.487
Pt  0.250  0.000  0.000
Pt  0.750  0.000  0.000

Summary:
Energy above the lowest structure with this stoichiometry   0.0 meV per atom
Total magnetic moment   0.000 Bohr magnetons per cell
Raw total energy   -4.26 eV/atom
D(E_F)   8.24 states/eV per cell
ρ   9.73 g cm⁻³
Space group   No. 72
ΔH_f (0 K)   -0.287 eV per atom

=====

This record from Alexandria via LeMat-Bulk describes a relaxed structure of MnGaIr. The functional is PBE-GGA.

abc: 6.125 4.459 2.835
angles: 90.00 90.00 43.63
Each line ends with the local moment (μB).
Positions (direct):
Mn  0.000  0.500  0.000  3.80
Ga  0.500  0.500  0.000  -0.01
Ir  0.000  0.000  0.500  0.09

Summary:
Total magnetic moment   4.130 Bohr magnetons per cell
Raw total energy   -7.13 eV/atom
D(E_F)   1.47 states/eV per cell
ρ   9.85 g cm⁻³
Space group   No. 10
ΔH_f (0 K)   -0.106 eV per atom

=====

This record from Alexandria via LeMat-Bulk describes a relaxed structure of Cd2CuAs2Pd5. The functional is PBE-GGA.

abc: 3.135 10.409 10.409
angles: 90.00 90.00 90.00
Positions (direct):
Cd  0.000  0.674  0.174
Cd  0.000  0.326  0.826
Cd  0.000  0.174  0.326
Cd  0.000  0.826  0.674
Cu  0.000  0.000  0.000
Cu  0.000  0.500  0.500
As  0.000  0.141  0.641
As  0.000  0.859  0.359
As  0.000  0.641  0.859
As  0.000  0.359  0.141
Pd  0.500  0.201  0.020
Pd  0.500  0.799  0.980
Pd  0.500  0.020  0.799
Pd  0.500  0.701  0.480
Pd  0.500  0.980  0.201
Pd  0.500  0.299  0.520
Pd  0.500  0.520  0.701
Pd  0.500  0.480  0.299
Pd  0.500  0.500  0.000
Pd  0.500  0.000  0.500

Summary:
Total magnetic moment   0.000 Bohr magnetons per cell
Raw total energy   -4.34 eV/atom
D(E_F)   8.58 states/eV per cell
ρ   9.49 g cm⁻³
Space group   No. 127
ΔH_f (0 K)   -0.222 eV per atom

=====

This record from Alexandria via LeMat-Bulk describes a relaxed structure of Nd2AlRh3. The functional is PBE-GGA.

abc: 5.187 5.187 5.187
angles: 67.20 67.20 67.20
Positions (direct):
Nd  0.370  0.370  0.370
Nd  0.630  0.630  0.630
Al  0.000  0.000  0.000
Rh  0.000  0.000  0.500
Rh  0.500  0.000  0.000
Rh  0.000  0.500  0.000

Summary:
Energy above the lowest structure with this stoichiometry   0.0 meV per atom
Total magnetic moment   0.000 Bohr magnetons per cell
Raw total energy   -6.71 eV/atom
D(E_F)   3.35 states/eV per cell
ρ   9.10 g cm⁻³
Space group   No. 166
ΔH_f (0 K)   -0.822 eV per atom

=====

This record from Alexandria via LeMat-Bulk describes a relaxed structure of UTl2S3. The functional is PBE-GGA.

abc: 7.534 7.534 13.122
angles: 101.83 101.83 106.60
Each line ends with the local moment (μB).
Positions (direct):
U  0.915  0.915  0.831  2.06
U  0.335  0.835  0.669  2.06
U  0.165  0.665  0.331  2.06
U  0.085  0.085  0.169  2.06
Tl  0.997  0.497  0.993  0.00
Tl  0.423  0.423  0.847  0.00
Tl  0.827  0.327  0.653  0.00
Tl  0.253  0.253  0.507  0.00
Tl  0.747  0.747  0.493  0.00
Tl  0.673  0.173  0.347  0.00
Tl  0.577  0.577  0.153  0.00
Tl  0.503  0.003  0.007  0.00
S  0.153  0.700  0.812  -0.05
S  0.659  0.112  0.812  -0.05
S  0.097  0.050  0.688  -0.05
S  0.591  0.638  0.688  -0.05
S  0.060  0.560  0.500  -0.06
S  0.440  0.940  0.500  -0.06
S  0.362  0.409  0.312  -0.05
S  0.950  0.903  0.312  -0.05
S  0.888  0.341  0.188  -0.05
S  0.300  0.847  0.188  -0.05
S  0.190  0.190  0.000  -0.06
S  0.810  0.810  0.000  -0.06

Summary:
Energy above the lowest structure with this stoichiometry   0.0 meV per atom
Total magnetic moment   8.000 Bohr magnetons per cell
Raw total energy   -5.64 eV/atom
Formation energy without anion corrections   -0.907 eV per atom
D(E_F)   19.31 states/eV per cell
ρ   7.36 g cm⁻³
Space group   No. 70

=====

This record from Alexandria via LeMat-Bulk describes a relaxed structure of Ho5TlCd6. The functional is PBE-GGA.

abc: 5.157 7.630 9.077
angles: 114.85 106.50 90.00
Positions (direct):
Tl  0.000  0.000  0.000
Ho  0.343  0.843  0.686
Ho  0.671  0.671  0.342
Ho  0.000  0.500  0.000
Ho  0.329  0.329  0.658
Ho  0.657  0.157  0.314
Cd  0.170  0.424  0.340
Cd  0.170  0.916  0.340
Cd  0.500  0.263  0.000
Cd  0.500  0.737  0.000
Cd  0.830  0.084  0.660
Cd  0.830  0.576  0.660

Summary:
Total magnetic moment   0.000 Bohr magnetons per cell
Raw total energy   -2.83 eV/atom
D(E_F)   9.45 states/eV per cell
ρ   9.19 g cm⁻³
Space group   No. 71
ΔH_f (0 K)   -0.264 eV per atom

=====

This record from Alexandria via LeMat-Bulk describes a relaxed structure of NpTiO3. The functional is PBE-GGA.

abc: 3.919 3.919 3.919
angles: 90.00 90.00 90.00
Each line ends with the local moment (μB).
Positions (direct):
Np  0.500  0.500  0.500  4.18
O  0.000  0.500  0.000  -0.03
O  0.000  0.000  0.500  -0.03
O  0.500  0.000  0.000  -0.03
Ti  0.000  0.000  0.000  0.08

Summary:
Total magnetic moment   4.376 Bohr magnetons per cell
Raw total energy   -9.84 eV/atom
Formation energy without anion corrections   -2.700 eV per atom
D(E_F)   7.67 states/eV per cell
ρ   9.19 g cm⁻³
Space group   No. 221

=====

This record from Alexandria via LeMat-Bulk describes a relaxed structure of GaP2PbO. The functional is PBE-GGA.

abc: 5.376 5.376 3.657
angles: 90.00 90.00 90.00
Positions (direct):
Pb  0.500  0.500  0.500
P  0.000  0.500  0.000
P  0.500  0.000  0.000
O  0.000  0.000  0.500
Ga  0.000  0.000  0.000

Summary:
Energy above the lowest structure with this stoichiometry   0.0 meV per atom
Total magnetic moment   0.001 Bohr magnetons per cell
Raw total energy   -4.33 eV/atom
Formation energy without anion corrections   0.169 eV per atom
D(E_F)   5.53 states/eV per cell
ρ   5.57 g cm⁻³
Space group   No. 123

=====

This record from Alexandria via LeMat-Bulk describes a relaxed structure of LaEu2Gd. The functional is PBE-GGA.

abc: 4.154 6.007 6.007
angles: 90.00 90.00 90.00
Each line ends with the local moment (μB).
Positions (direct):
Eu  0.000  0.000  0.500  -6.88
Eu  0.000  0.500  0.000  -6.88
Gd  0.500  0.500  0.500  7.03
La  0.500  0.000  0.000  -0.20

Summary:
Energy above the lowest structure with this stoichiometry   18.7 meV per atom
Total magnetic moment   7.672 Bohr magnetons per cell
Raw total energy   -9.76 eV/atom
D(E_F)   5.40 states/eV per cell
ρ   6.65 g cm⁻³
Space group   No. 123
ΔH_f (0 K)   0.129 eV per atom

=====

This record from Alexandria via LeMat-Bulk describes a relaxed structure of Co3Au. The functional is PBE-GGA.

abc: 4.715 4.715 4.715
angles: 90.00 90.00 90.00
Each line ends with the local moment (μB).
Positions (direct):
Co  0.000  0.250  0.500  1.83
Co  0.000  0.750  0.500  1.83
Co  0.250  0.500  0.000  1.83
Co  0.500  0.000  0.250  1.83
Co  0.500  0.000  0.750  1.83
Co  0.750  0.500  0.000  1.83
Au  0.000  0.000  0.000  0.09
Au  0.500  0.500  0.500  0.09

Summary:
Total magnetic moment   10.925 Bohr magnetons per cell
Raw total energy   -5.87 eV/atom
D(E_F)   10.61 states/eV per cell
ρ   11.84 g cm⁻³
Space group   No. 223
ΔH_f (0 K)   0.277 eV per atom

=====

This record from Alexandria via LeMat-Bulk describes a relaxed structure of KFe2Cu. The functional is PBE-GGA.

abc: 4.705 4.705 9.286
angles: 75.32 75.32 90.00
Each line ends with the local moment (μB).
Positions (direct):
K  0.500  0.500  0.000  -0.02
K  0.250  0.750  0.500  -0.02
Fe  0.875  0.125  0.250  2.86
Fe  0.875  0.625  0.250  2.85
Fe  0.375  0.125  0.750  2.85
Fe  0.875  0.125  0.750  2.84
Cu  0.000  0.000  0.000  0.13
Cu  0.750  0.250  0.500  0.13

Summary:
Energy above the lowest structure with this stoichiometry   421.2 meV per atom
Total magnetic moment   11.591 Bohr magnetons per cell
Raw total energy   -4.51 eV/atom
D(E_F)   12.48 states/eV per cell
ρ   3.71 g cm⁻³
Space group   No. 141
ΔH_f (0 K)   1.016 eV per atom